i.
Density functional theory data (PBE) for a relaxed structure of TaC2.

Output
Total magnetic moment = 0.00 μB per atom

The structure in POSCAR format:
```
TaC2
1.0
3.957 0.000 0.000
-1.979 3.427 0.000
0.000 0.000 4.313
Ta C
2 4
direct
0.333 0.667 0.250
0.667 0.333 0.750
0.000 0.000 0.000
0.000 0.000 0.500
0.333 0.667 0.750
0.667 0.333 0.250
```



ii.
Density functional theory data (PBE) for a relaxed structure of TaC2.

Output
Total magnetic moment = 0.00 μB per atom

The structure in POSCAR format:
```
TaC2
1.0
11.456 0.000 0.000
0.000 2.796 0.000
-0.416 0.000 3.701
Ta C
4 8
direct
0.124 0.000 0.066
0.376 0.500 0.934
0.624 0.500 0.066
0.876 0.000 0.934
0.005 0.500 0.689
0.236 0.000 0.602
0.264 0.500 0.398
0.495 0.000 0.311
0.505 0.000 0.689
0.736 0.500 0.602
0.764 0.000 0.398
0.995 0.500 0.311
```



Relative calculated energies, zero for the most stable structure, unit kJ/mol of atoms: i 91.0; ii 0.0.



i.
Density functional theory data (PBE) for a relaxed structure of TaC3.

Output
Total magnetic moment = 0.00 μB per atom

The structure in POSCAR format:
```
TaC3
1.0
3.461 0.000 0.000
0.000 3.461 0.000
0.000 0.000 3.009
Ta C
1 3
direct
0.000 0.000 0.000
0.000 0.500 0.500
0.500 0.000 0.500
0.500 0.500 0.000
```



ii.
Density functional theory data (PBE) for a relaxed structure of TaC3.

Output
Total magnetic moment = 0.00 μB per atom

The structure in POSCAR format:
```
TaC3
1.0
3.281 0.000 0.000
0.000 2.888 0.000
-1.158 0.000 3.917
Ta C
1 3
direct
0.000 0.000 0.000
0.414 0.500 0.809
0.500 0.000 0.500
0.586 0.500 0.191
```



iii.
Density functional theory data (PBE) for a relaxed structure of TaC3.

Output
Total magnetic moment = 0.00 μB per atom

The structure in POSCAR format:
```
TaC3
1.0
3.126 0.000 0.000
0.000 6.767 0.000
0.000 0.000 3.667
Ta C
2 6
direct
0.000 0.000 0.000
0.500 0.500 0.500
0.000 0.315 0.809
0.000 0.500 0.985
0.000 0.685 0.809
0.500 0.000 0.485
0.500 0.185 0.309
0.500 0.815 0.309
```



iv.
Density functional theory data (PBE) for a relaxed structure of TaC3.

Output
Total magnetic moment = 0.00 μB per atom

The structure in POSCAR format:
```
TaC3
1.0
2.748 0.000 0.000
0.000 3.221 0.000
0.000 0.000 4.916
Ta C
1 3
direct
0.000 0.000 0.000
0.000 0.000 0.500
0.500 0.000 0.500
0.500 0.500 0.000
```



Relative calculated energies, zero for the most stable structure, unit kJ/mol of atoms: i 110.9; ii 54.7; iii 0.0; iv 5.2.